w:
Density functional theory data (PBE) for a relaxed Mg2TaCl crystal.

Cell lengths 5.008, 5.008, 5.008 Å; angles 60.00, 60.00, 60.00 degrees
Site moments in Bohr magnetons follow the coordinates.
Sites, in units of the cell vectors:
Mg1 0.250 0.250 0.250  0.01
Cl1 0.000 0.000 0.000  0.01
Ta1 0.500 0.500 0.500  1.28
Mg2 0.750 0.750 0.750  0.01

Values from the calculation:
Its density of states at the Fermi level is 3.1 states/eV/cell. The crystal system is cubic.

***

x:
Density functional theory data (PBE) for a relaxed Mg2TaCl crystal.

Cell lengths 5.561, 5.561, 5.561 Å; angles 136.43, 136.43, 63.32 degrees
Site moments in Bohr magnetons follow the coordinates.
Sites, in units of the cell vectors:
Mg1 0.000 0.000 0.000  0.00
Cl1 0.750 0.250 0.500  0.01
Ta1 0.500 0.500 0.000  0.15
Mg2 0.250 0.750 0.500  0.00

Values from the calculation:
Its density of states at the Fermi level is 3.7 states/eV/cell. The crystal system is tetragonal.

***

Least stable: w

***

w:
Density functional theory data (PBE) for a relaxed Mg2Ta2Cl crystal.

Cell lengths 3.701, 3.701, 9.096 Å; angles 78.26, 78.26, 90.00 degrees
Sites, in units of the cell vectors:
Ta1 0.250 0.750 0.500
Mg1 0.612 0.612 0.776
Ta2 0.750 0.250 0.500
Mg2 0.388 0.388 0.224
Cl1 0.000 0.000 0.000

Values from the calculation:
Its density of states at the Fermi level is 3.8 states/eV/cell. The crystal system is tetragonal.

***

x:
Density functional theory data (PBE) for a relaxed Mg2Ta2Cl crystal.

Cell lengths 8.509, 8.509, 3.132 Å; angles 90.00, 90.00, 90.00 degrees
Sites, in units of the cell vectors:
Cl1 0.000 0.000 0.000
Mg1 0.191 0.309 0.000
Mg2 0.809 0.691 0.000
Mg3 0.691 0.191 0.000
Ta1 0.100 0.600 0.500
Ta2 0.900 0.400 0.500
Ta3 0.400 0.100 0.500
Cl2 0.500 0.500 0.000
Ta4 0.600 0.900 0.500
Mg4 0.309 0.809 0.000

Values from the calculation:
Its density of states at the Fermi level is 8.4 states/eV/cell. The crystal system is tetragonal.

***

Least stable: x

***

w:
Density functional theory data (PBE) for a relaxed MgTa3Cl crystal.

Cell lengths 4.839, 4.839, 4.839 Å; angles 90.00, 90.00, 90.00 degrees
Sites, in units of the cell vectors:
Cl1 0.500 0.500 0.500
Ta1 0.500 0.000 0.000
Ta2 0.000 0.500 0.000
Ta3 0.000 0.000 0.500
Mg1 0.000 0.000 0.000

Values from the calculation:
Its density of states at the Fermi level is 5.1 states/eV/cell. The crystal system is cubic.

***

x:
Density functional theory data (PBE) for a relaxed MgTa3Cl crystal.

Cell lengths 4.577, 4.577, 4.577 Å; angles 90.00, 90.00, 90.00 degrees
Sites, in units of the cell vectors:
Ta1 0.000 0.000 0.500
Cl1 0.000 0.000 0.000
Ta2 0.000 0.500 0.000
Ta3 0.500 0.000 0.000
Mg1 0.500 0.500 0.500

Values from the calculation:
Its density of states at the Fermi level is 8.0 states/eV/cell. The crystal system is cubic.

***

Least stable: w